Record 1
Entry from the Alexandria database: an optimized crystal structure of MgP2Br (PBE-GGA).

Output
- V (Å³ per atom) = 22.920
- space-group type = P4mm, No. 99

Unit cell a=3.435 b=3.435 c=7.770 alpha=90.00 beta=90.00 gamma=90.00
Fractional positions:
P  0.500  0.500  0.084
P  0.000  0.000  0.062
Mg  0.500  0.500  0.766
Br  0.000  0.000  0.589

---

Record 2
Entry from the Alexandria database: an optimized crystal structure of MgP2Br (PBE-GGA).

Output
- V (Å³ per atom) = 24.081
- space-group type = R-3m, No. 166

Unit cell a=12.684 b=12.684 c=12.684 alpha=13.47 beta=13.47 gamma=13.47
Last column: magnetic moment on the atom in μB.
Fractional positions:
P  0.471  0.471  0.471  0.06
P  0.029  0.029  0.029  0.06
Mg  0.750  0.750  0.750  0.00
Br  0.250  0.250  0.250  0.00

---

Record 3
Entry from the Alexandria database: an optimized crystal structure of MgP2Br (PBE-GGA).

Output
- V (Å³ per atom) = 28.348
- space-group type = Imm2, No. 44

Unit cell a=6.026 b=6.026 c=6.026 alpha=147.15 beta=99.43 gamma=89.77
Fractional positions:
Mg  0.231  0.731  0.500
P  0.991  0.991  0.000
P  0.835  0.335  0.500
Br  0.444  0.444  0.000

---

Record 4
Entry from the Alexandria database: an optimized crystal structure of MgP2Br (PBE-GGA).

Output
- V (Å³ per atom) = 21.585
- space-group type = P4/mmm, No. 123

Unit cell a=3.865 b=3.865 c=5.781 alpha=90.00 beta=90.00 gamma=90.00
Fractional positions:
P  0.000  0.000  0.929
P  0.000  0.000  0.571
Mg  0.500  0.500  0.750
Br  0.500  0.500  0.250

---

Record 5
Entry from the Alexandria database: an optimized crystal structure of Mg3PBr (PBE-GGA).

Output
- V (Å³ per atom) = 26.130
- space-group type = Pm-3m, No. 221

Unit cell a=5.074 b=5.074 c=5.074 alpha=90.00 beta=90.00 gamma=90.00
Fractional positions:
Mg  0.000  0.000  0.500
Mg  0.000  0.500  0.000
Mg  0.500  0.000  0.000
Br  0.500  0.500  0.500
P  0.000  0.000  0.000

---

Record 6
Entry from the Alexandria database: an optimized crystal structure of MgPBr (PBE-GGA).

Output
- V (Å³ per atom) = 28.918
- space-group type = P-1, No. 2

Unit cell a=3.508 b=7.271 c=7.528 alpha=68.73 beta=89.87 gamma=76.80
Fractional positions:
P  0.305  0.885  0.077
P  0.695  0.115  0.923
Br  0.869  0.744  0.623
Br  0.131  0.256  0.377
Mg  0.265  0.962  0.725
Mg  0.735  0.038  0.275

---

Record 7
Entry from the Alexandria database: an optimized crystal structure of MgPBr (PBE-GGA).

Output
- V (Å³ per atom) = 23.763
- space-group type = Cm, No. 8

Unit cell a=5.397 b=3.513 c=15.787 alpha=90.00 beta=107.67 gamma=90.00
Fractional positions:
Mg  0.830  0.500  0.955
Mg  0.207  0.500  0.239
Mg  0.207  0.000  0.739
Mg  0.830  0.000  0.455
Br  0.579  0.000  0.271
Br  0.939  0.500  0.618
Br  0.939  0.000  0.118
Br  0.579  0.500  0.771
P  0.140  0.500  0.396
P  0.362  0.500  0.979
P  0.362  0.000  0.479
P  0.140  0.000  0.896

---

Record 8
Entry from the Alexandria database: an optimized crystal structure of MgP2Br (PBE-GGA).

Output
- V (Å³ per atom) = 26.945
- space-group type = Cmmm, No. 65

Unit cell a=5.429 b=5.429 c=4.777 alpha=90.00 beta=90.00 gamma=130.04
Fractional positions:
Mg  0.000  0.500  0.500
P  0.500  0.500  0.000
P  0.000  0.000  0.000
Br  0.500  0.000  0.500

---

Number 1: energy above the lowest structure with this stoichiometry 0.1415 eV/atom, uncorrected energy -3.82 eV/atom, E_form (uncorrected) -0.2937 eV/atom. Number 2: energy above the lowest structure with this stoichiometry 0.8784 eV/atom, uncorrected energy -3.08 eV/atom, E_form (uncorrected) 0.4431 eV/atom. Number 3: energy above the lowest structure with this stoichiometry 0.2131 eV/atom, uncorrected energy -3.74 eV/atom, E_form (uncorrected) -0.2222 eV/atom. Number 4: energy above the lowest structure with this stoichiometry 0.3943 eV/atom, uncorrected energy -3.56 eV/atom, E_form (uncorrected) -0.0409 eV/atom. Number 5: energy above the lowest structure with this stoichiometry 0.0000 eV/atom, uncorrected energy -2.60 eV/atom, E_form (uncorrected) -0.2310 eV/atom. Number 6: energy above the lowest structure with this stoichiometry 0.0656 eV/atom, uncorrected energy -3.62 eV/atom, E_form (uncorrected) -0.7309 eV/atom. Number 7: energy above the lowest structure with this stoichiometry 0.0871 eV/atom, uncorrected energy -3.60 eV/atom, E_form (uncorrected) -0.7094 eV/atom. Number 8: energy above the lowest structure with this stoichiometry 0.7118 eV/atom, uncorrected energy -3.25 eV/atom, E_form (uncorrected) 0.2765 eV/atom.